1.
Compound: SbIrRu2
Source: the Alexandria database
Functional: PBE-GGA
Structure: relaxed

Unit cell a=4.7026 b=4.7026 c=2.9091 alpha=90.00 beta=90.00 gamma=104.38
Last column: nearest neighbours and their distance in Å.
Fractional coordinates of all 4 atoms:
Sb  0.0000  0.0000  0.0000  8 Ru 2.76, 2 Ir 2.88, 2 Sb 2.91
Ir  0.5000  0.5000  0.0000  8 Ru 2.76, 2 Sb 2.88, 2 Ir 2.91
Ru  0.0000  0.5000  0.5000  4 Sb 2.76, 4 Ir 2.76, 4 Ru 2.88-2.91
Ru  0.5000  0.0000  0.5000  4 Sb 2.76, 4 Ir 2.76, 4 Ru 2.88-2.91

Values from the calculation:
Space-group type: Cmmm, No. 65

---

2.
Compound: SbIr2Ru
Source: the Alexandria database
Functional: PBE-GGA
Structure: relaxed

Unit cell a=4.8136 b=4.8136 c=2.9026 alpha=90.00 beta=90.00 gamma=109.56
Last column: nearest neighbours and their distance in Å.
Fractional coordinates of all 4 atoms:
Sb  0.0000  0.0000  0.0000  2 Ru 2.78, 8 Ir 2.81, 2 Sb 2.90
Ir  0.0000  0.5000  0.5000  4 Ir 2.78-2.90, 4 Sb 2.81, 4 Ru 2.81
Ir  0.5000  0.0000  0.5000  4 Ir 2.78-2.90, 4 Sb 2.81, 4 Ru 2.81
Ru  0.5000  0.5000  0.0000  2 Sb 2.78, 8 Ir 2.81, 2 Ru 2.90

Values from the calculation:
Space-group type: Cmmm, No. 65

---

3.
Compound: SbIrRu2
Source: the Alexandria database
Functional: PBE-GGA
Structure: relaxed

Unit cell a=4.7943 b=4.7943 c=4.7943 alpha=130.69 beta=130.69 gamma=72.31
Last column: nearest neighbours and their distance in Å.
Fractional coordinates of all 4 atoms:
Sb  0.0000  0.0000  0.0000  8 Ru 2.78-2.83, 4 Ir 2.78
Ir  0.2500  0.7500  0.5000  8 Ru 2.78-2.83, 4 Sb 2.78
Ru  0.5000  0.5000  0.0000  4 Ru 2.78, 4 Ir 2.78, 4 Sb 2.83
Ru  0.7500  0.2500  0.5000  4 Ru 2.78, 4 Sb 2.78, 4 Ir 2.83

Values from the calculation:
Space-group type: I-4m2, No. 119

---

4.
Compound: SbIrRu2
Source: the Alexandria database
Functional: PBE-GGA
Structure: relaxed

Unit cell a=4.0901 b=5.5738 c=5.5738 alpha=30.12 beta=90.00 gamma=90.00
Last column: nearest neighbours and their distance in Å.
Fractional coordinates of all 4 atoms:
Sb  0.0000  0.0000  0.0000  5 Ru 2.61-2.74, 2 Ir 2.63, 2 Sb 2.90
Ir  0.5000  0.1534  0.1534  5 Ru 2.62-2.74, 2 Sb 2.63, 2 Ir 2.90
Ru  0.0000  0.7571  0.7571  1 Sb 2.61, 4 Ir 2.74, 6 Ru 2.90-2.92
Ru  0.5000  0.3964  0.3964  1 Ir 2.62, 4 Sb 2.74, 6 Ru 2.90-2.92

Values from the calculation:
Space-group type: Amm2, No. 38

---

The records above give, respectively, mass density values of 13.75; 15.91; 13.84; 13.44 g/cm3.
The records above give, respectively, raw total energy values of -30.8; -30.3; -31.1; -30.7 eV/cell.
The records above give, respectively, energy relative to the elements, uncorrected values of 0.70; 0.86; 0.42; 0.87 eV per formula unit.